# Cd3Ag4

An optimized crystal structure of Cd3Ag4 (GGA-PBEsol, Alexandria).

a = 3.4206 Å, b = 3.4206 Å, c = 21.4458 Å
α = 90.00°, β = 90.00°, γ = 90.00°
Space group I4/mmm (No. 139)
Inequivalent atoms, fractional coordinates:
Cd1 0.0000 0.0000 0.0000 (multiplicity 2)
Cd2 0.0000 0.0000 0.2904 (multiplicity 4)
Ag1 0.0000 0.0000 0.1398 (multiplicity 4)
Ag2 0.0000 0.0000 0.4290 (multiplicity 4)

## Properties
total magnetic moment	0.00	Bohr magnetons per cell
energy relative to the elements	-0.04	eV/atom
uncorrected energy	-34.2	eV per cell
Fermi-level density of states	1.85	states/eV/f.u.



# CdAg2

An optimized crystal structure of CdAg2 (GGA-PBEsol, Alexandria).

a = 4.1243 Å, b = 4.1243 Å, c = 24.6494 Å
α = 90.00°, β = 90.00°, γ = 90.00°
Space group I4_1/amd (No. 141, origin choice 2)
Inequivalent atoms, fractional coordinates:
Cd1 0.0000 0.2500 0.2933 (multiplicity 8)
Ag1 0.0000 0.2500 0.1246 (multiplicity 8)
Ag2 0.0000 0.2500 0.7923 (multiplicity 8)

## Properties
total magnetic moment	0.00	Bohr magnetons per cell
relative energy among the computed polymorphs	1.7	meV/atom
energy relative to the elements	-0.06	eV/atom
uncorrected energy	-64.1	eV per cell
Fermi-level density of states	0.86	states/eV/f.u.



# CdAg

An optimized crystal structure of CdAg (GGA-PBEsol, Alexandria).

a = 4.1011 Å, b = 4.1011 Å, c = 8.5710 Å
α = 90.00°, β = 90.00°, γ = 90.00°
Space group I4_1/amd (No. 141, origin choice 2)
Inequivalent atoms, fractional coordinates:
Cd1 0.0000 0.2500 0.3750 (multiplicity 4)
Ag1 0.0000 0.2500 0.8750 (multiplicity 4)

## Properties
total magnetic moment	0.00	Bohr magnetons per cell
energy relative to the elements	-0.07	eV/atom
uncorrected energy	-18.6	eV per cell
Fermi-level density of states	0.50	states/eV/f.u.



# CdAg3

An optimized crystal structure of CdAg3 (GGA-PBEsol, Alexandria).

a = 5.7697 Å, b = 9.9407 Å, c = 4.8022 Å
α = 90.00°, β = 90.00°, γ = 90.00°
Space group Cmcm (No. 63)
Inequivalent atoms, fractional coordinates:
Cd1 0.0000 0.0884 0.2500 (multiplicity 4)
Ag1 0.0000 0.4149 0.7500 (multiplicity 4)
Ag2 0.2491 0.3354 0.2500 (multiplicity 8)

## Properties
total magnetic moment	0.00	Bohr magnetons per cell
energy relative to the elements	-0.05	eV/atom
uncorrected energy	-45.3	eV per cell
Fermi-level density of states	1.27	states/eV/f.u.



# CdAg

An optimized crystal structure of CdAg (GGA-PBEsol, Alexandria).

a = 3.3030 Å, b = 3.3030 Å, c = 3.3030 Å
α = 90.00°, β = 90.00°, γ = 90.00°
Space group Pm-3m (No. 221)
Inequivalent atoms, fractional coordinates:
Cd1 0.0000 0.0000 0.0000 (multiplicity 1)
Ag1 0.5000 0.5000 0.5000 (multiplicity 1)

## Properties
total magnetic moment	0.00	Bohr magnetons per cell
energy relative to the elements	-0.07	eV/atom
uncorrected energy	-4.7	eV per cell
Fermi-level density of states	0.63	states/eV/f.u.



# Cd2Ag3

An optimized crystal structure of Cd2Ag3 (GGA-PBEsol, Alexandria).

a = 9.0748 Å, b = 4.1452 Å, c = 6.4230 Å
α = 90.00°, β = 132.95°, γ = 90.00°
Space group C2/m (No. 12)
Inequivalent atoms, fractional coordinates:
Cd1 0.0948 0.0000 0.2971 (multiplicity 4)
Ag1 0.0000 0.5000 0.5000 (multiplicity 2)
Ag2 0.2013 0.5000 0.1011 (multiplicity 4)

## Properties
total magnetic moment	0.00	Bohr magnetons per cell
relative energy among the computed polymorphs	0.0	meV/atom
energy relative to the elements	-0.07	eV/atom
uncorrected energy	-25.3	eV per cell
Fermi-level density of states	1.38	states/eV/f.u.



# Cd2Ag3

An optimized crystal structure of Cd2Ag3 (GGA-PBEsol, Alexandria).

a = 2.9707 Å, b = 2.9707 Å, c = 20.0909 Å
α = 90.00°, β = 90.00°, γ = 90.00°
Space group I4/mmm (No. 139)
Inequivalent atoms, fractional coordinates:
Cd1 0.0000 0.0000 0.1018 (multiplicity 4)
Ag1 0.0000 0.0000 0.2980 (multiplicity 4)
Ag2 0.0000 0.0000 0.5000 (multiplicity 2)

## Properties
total magnetic moment	0.00	Bohr magnetons per cell
relative energy among the computed polymorphs	10.8	meV/atom
energy relative to the elements	-0.06	eV/atom
uncorrected energy	-25.2	eV per cell
Fermi-level density of states	1.32	states/eV/f.u.



# CdAg

An optimized crystal structure of CdAg (GGA-PBEsol, Alexandria).

a = 2.9755 Å, b = 2.9755 Å, c = 4.0624 Å
α = 90.00°, β = 90.00°, γ = 90.00°
Space group P4/mmm (No. 123)
Inequivalent atoms, fractional coordinates:
Cd1 0.0000 0.0000 0.0000 (multiplicity 1)
Ag1 0.5000 0.5000 0.5000 (multiplicity 1)

## Properties
total magnetic moment	0.00	Bohr magnetons per cell
energy relative to the elements	-0.07	eV/atom
uncorrected energy	-4.6	eV per cell
Fermi-level density of states	0.61	states/eV/f.u.



# Cd2Ag

An optimized crystal structure of Cd2Ag (GGA-PBEsol, Alexandria).

a = 3.7763 Å, b = 13.2925 Å, c = 4.4738 Å
α = 90.00°, β = 90.00°, γ = 90.00°
Space group Cmcm (No. 63)
Inequivalent atoms, fractional coordinates:
Cd1 0.0000 0.0780 0.2500 (multiplicity 4)
Cd2 0.0000 0.2495 0.7500 (multiplicity 4)
Ag1 0.0000 0.4146 0.2500 (multiplicity 4)

## Properties
total magnetic moment	0.00	Bohr magnetons per cell
relative energy among the computed polymorphs	27.8	meV/atom
energy relative to the elements	-0.04	eV/atom
uncorrected energy	-23.3	eV per cell
Fermi-level density of states	0.65	states/eV/f.u.



# Cd2Ag

An optimized crystal structure of Cd2Ag (GGA-PBEsol, Alexandria).

a = 25.1997 Å, b = 3.1375 Å, c = 2.9339 Å
α = 90.00°, β = 90.12°, γ = 90.00°
Space group C2/m (No. 12)
Inequivalent atoms, fractional coordinates:
Cd1 0.0502 0.0000 0.2495 (multiplicity 4)
Cd2 0.2065 0.0000 0.2496 (multiplicity 4)
Ag1 0.1283 0.5000 0.7494 (multiplicity 4)

## Properties
total magnetic moment	0.00	Bohr magnetons per cell
relative energy among the computed polymorphs	35.8	meV/atom
energy relative to the elements	-0.03	eV/atom
uncorrected energy	-23.2	eV per cell
Fermi-level density of states	0.80	states/eV/f.u.



# Cd3Ag5

An optimized crystal structure of Cd3Ag5 (GGA-PBEsol, Alexandria).

a = 7.9659 Å, b = 7.9659 Å, c = 5.3583 Å
α = 90.00°, β = 90.00°, γ = 120.00°
Space group P6_3/mcm (No. 193)
Inequivalent atoms, fractional coordinates:
Cd1 0.0000 0.4016 0.2500 (multiplicity 6)
Ag1 0.0000 0.2134 0.7500 (multiplicity 6)
Ag2 0.3333 0.6667 0.0000 (multiplicity 4)

## Properties
total magnetic moment	0.00	Bohr magnetons per cell
relative energy among the computed polymorphs	115.8	meV/atom
energy relative to the elements	0.05	eV/atom
uncorrected energy	-39.5	eV per cell
Fermi-level density of states	2.89	states/eV/f.u.



# CdAg3

An optimized crystal structure of CdAg3 (GGA-PBEsol, Alexandria).

a = 2.9222 Å, b = 2.9222 Å, c = 9.3570 Å
α = 90.00°, β = 90.00°, γ = 120.00°
Space group P-6m2 (No. 187)
Inequivalent atoms, fractional coordinates:
Cd1 0.0000 0.0000 0.0000 (multiplicity 1)
Ag1 0.0000 0.0000 0.5000 (multiplicity 1)
Ag2 0.3333 0.6667 0.2554 (multiplicity 2)

## Properties
total magnetic moment	0.00	Bohr magnetons per cell
energy relative to the elements	-0.01	eV/atom
uncorrected energy	-11.2	eV per cell
Fermi-level density of states	1.11	states/eV/f.u.



# CdAg2

An optimized crystal structure of CdAg2 (GGA-PBEsol, Alexandria).

a = 4.6015 Å, b = 4.6015 Å, c = 2.8703 Å
α = 90.00°, β = 90.00°, γ = 120.00°
Space group P-3m1 (No. 164)
Inequivalent atoms, fractional coordinates:
Cd1 0.0000 0.0000 0.0000 (multiplicity 1)
Ag1 0.3333 0.6667 0.6608 (multiplicity 2)

## Properties
total magnetic moment	0.00	Bohr magnetons per cell
relative energy among the computed polymorphs	29.9	meV/atom
energy relative to the elements	-0.04	eV/atom
uncorrected energy	-7.9	eV per cell
Fermi-level density of states	0.84	states/eV/f.u.



# CdAg2

An optimized crystal structure of CdAg2 (GGA-PBEsol, Alexandria).

a = 7.8669 Å, b = 7.8669 Å, c = 2.9570 Å
α = 90.00°, β = 90.00°, γ = 120.00°
Space group P-62m (No. 189)
Inequivalent atoms, fractional coordinates:
Cd1 0.0000 0.0000 0.0000 (multiplicity 1)
Cd2 0.3333 0.6667 0.5000 (multiplicity 2)
Ag1 0.0000 0.3621 0.0000 (multiplicity 3)
Ag2 0.0000 0.6951 0.5000 (multiplicity 3)

## Properties
total magnetic moment	0.00	Bohr magnetons per cell
relative energy among the computed polymorphs	31.6	meV/atom
energy relative to the elements	-0.03	eV/atom
uncorrected energy	-23.8	eV per cell
Fermi-level density of states	1.00	states/eV/f.u.



# CdAg

An optimized crystal structure of CdAg (GGA-PBEsol, Alexandria).

a = 2.9778 Å, b = 2.9778 Å, c = 14.1291 Å
α = 90.00°, β = 90.00°, γ = 120.00°
Space group R-3m (No. 166, hexagonal axes)
Inequivalent atoms, fractional coordinates:
Cd1 0.0000 0.0000 0.0000 (multiplicity 3)
Ag1 0.0000 0.0000 0.5000 (multiplicity 3)

## Properties
total magnetic moment	0.00	Bohr magnetons per cell
energy relative to the elements	-0.05	eV/atom
uncorrected energy	-13.8	eV per cell
Fermi-level density of states	0.52	states/eV/f.u.



# CdAg3

An optimized crystal structure of CdAg3 (GGA-PBEsol, Alexandria).

a = 2.9234 Å, b = 2.9234 Å, c = 28.0485 Å
α = 90.00°, β = 90.00°, γ = 120.00°
Space group R-3m (No. 166, hexagonal axes)
Inequivalent atoms, fractional coordinates:
Cd1 0.0000 0.0000 0.0000 (multiplicity 3)
Ag1 0.0000 0.0000 0.2482 (multiplicity 6)
Ag2 0.0000 0.0000 0.5000 (multiplicity 3)

## Properties
total magnetic moment	0.00	Bohr magnetons per cell
energy relative to the elements	-0.01	eV/atom
uncorrected energy	-33.6	eV per cell
Fermi-level density of states	1.24	states/eV/f.u.



# Cd4Ag5

An optimized crystal structure of Cd4Ag5 (GGA-PBEsol, Alexandria).

a = 8.8034 Å, b = 8.8034 Å, c = 4.1578 Å
α = 90.00°, β = 90.00°, γ = 90.00°
Space group I4/mmm (No. 139)
Inequivalent atoms, fractional coordinates:
Cd1 0.0000 0.3243 0.0000 (multiplicity 8)
Ag1 0.0000 0.0000 0.0000 (multiplicity 2)
Ag2 0.1654 0.1654 0.5000 (multiplicity 8)

## Properties
total magnetic moment	0.00	Bohr magnetons per cell
relative energy among the computed polymorphs	0.0	meV/atom
energy relative to the elements	-0.06	eV/atom
uncorrected energy	-43.8	eV per cell
Fermi-level density of states	2.24	states/eV/f.u.



# CdAg3

An optimized crystal structure of CdAg3 (GGA-PBEsol, Alexandria).

a = 2.9530 Å, b = 9.4164 Å, c = 4.9514 Å
α = 90.00°, β = 90.00°, γ = 90.00°
Space group Imm2 (No. 44)
Inequivalent atoms, fractional coordinates:
Cd1 0.0000 0.0000 0.0000 (multiplicity 2)
Ag1 0.0000 0.2486 0.3463 (multiplicity 4)
Ag2 0.0000 0.5000 0.0024 (multiplicity 2)

## Properties
total magnetic moment	0.00	Bohr magnetons per cell
energy relative to the elements	-0.05	eV/atom
uncorrected energy	-22.6	eV per cell
Fermi-level density of states	0.97	states/eV/f.u.



# CdAg2

An optimized crystal structure of CdAg2 (GGA-PBEsol, Alexandria).

a = 7.6553 Å, b = 7.6553 Å, c = 7.6553 Å
α = 90.00°, β = 90.00°, γ = 90.00°
Space group Fd-3m (No. 227, origin choice 2)
Inequivalent atoms, fractional coordinates:
Cd1 0.1250 0.1250 0.1250 (multiplicity 8)
Ag1 0.0000 0.0000 0.5000 (multiplicity 16)

## Properties
total magnetic moment	0.00	Bohr magnetons per cell
relative energy among the computed polymorphs	113.4	meV/atom
energy relative to the elements	0.05	eV/atom
uncorrected energy	-61.4	eV per cell
Fermi-level density of states	0.76	states/eV/f.u.



# Cd2Ag

An optimized crystal structure of Cd2Ag (GGA-PBEsol, Alexandria).

a = 10.9538 Å, b = 3.0339 Å, c = 6.9772 Å
α = 90.00°, β = 104.15°, γ = 90.00°
Space group C2/m (No. 12)
Inequivalent atoms, fractional coordinates:
Cd1 0.1365 0.0000 0.0310 (multiplicity 4)
Cd2 0.1853 0.0000 0.6308 (multiplicity 4)
Ag1 0.0292 0.5000 0.3054 (multiplicity 4)

## Properties
total magnetic moment	0.00	Bohr magnetons per cell
relative energy among the computed polymorphs	4.1	meV/atom
energy relative to the elements	-0.06	eV/atom
uncorrected energy	-23.6	eV per cell
Fermi-level density of states	0.77	states/eV/f.u.